[1]
RbSnSb2Te | PBE | relaxed

## Properties
- energy above the most stable polymorph in this dataset (eV per atom) = 0.000
- E_form (uncorrected) (eV/atom) = 0.1675

```
data_RbSnSb2Te
_chemical_formula_sum 'Rb1 Sn1 Sb2 Te1'
_cell_length_a 5.793
_cell_length_b 5.793
_cell_length_c 6.006
_cell_angle_alpha 90.00
_cell_angle_beta 90.00
_cell_angle_gamma 90.00
_symmetry_space_group_name_H-M 'P 4/m m m'
_symmetry_Int_Tables_number 123
_symmetry_space_group_name_Hall '-P 4 2'
loop_
_atom_site_label
_atom_site_type_symbol
_atom_site_fract_x
_atom_site_fract_y
_atom_site_fract_z
Rb1 Rb 0.000 0.000 0.000
Sn1 Sn 0.500 0.500 0.500
Sb1 Sb 0.000 0.500 0.500
Te1 Te 0.500 0.500 0.000
```

[2]
TcAs2Os | PBE | relaxed

## Properties
- energy above the most stable polymorph in this dataset (eV per atom) = 0.110

```
data_TcAs2Os
_chemical_formula_sum 'Tc1 As2 Os1'
_cell_length_a 2.913
_cell_length_b 3.982
_cell_length_c 5.255
_cell_angle_alpha 90.00
_cell_angle_beta 90.00
_cell_angle_gamma 90.00
_symmetry_space_group_name_H-M 'P m m 2'
_symmetry_Int_Tables_number 25
loop_
_symmetry_equiv_pos_as_xyz
'x,y,z'
'-x,-y,z'
'-x,y,z'
'x,-y,z'
loop_
_atom_site_label
_atom_site_type_symbol
_atom_site_fract_x
_atom_site_fract_y
_atom_site_fract_z
Tc1 Tc 0.000 0.000 0.000
As1 As 0.000 0.000 0.518
As2 As 0.500 0.500 0.167
Os1 Os 0.500 0.500 0.683
```

[3]
Nd4GaCoBr2 | PBE | relaxed

## Properties
- E_form (uncorrected) (eV/atom) = -0.7751

```
data_Nd4GaCoBr2
_chemical_formula_sum 'Nd4 Ga1 Co1 Br2'
_cell_length_a 7.501
_cell_length_b 4.020
_cell_length_c 8.029
_cell_angle_alpha 90.00
_cell_angle_beta 107.34
_cell_angle_gamma 90.00
_symmetry_space_group_name_H-M 'P 1 2/m 1'
_symmetry_Int_Tables_number 10
loop_
_symmetry_equiv_pos_as_xyz
'x,y,z'
'-x,-y,-z'
'-x,y,-z'
'x,-y,z'
loop_
_atom_site_label
_atom_site_type_symbol
_atom_site_fract_x
_atom_site_fract_y
_atom_site_fract_z
Nd1 Nd 0.226 0.000 0.199
Nd2 Nd 0.228 0.500 0.797
Ga1 Ga 0.500 0.000 0.000
Co1 Co 0.000 0.500 0.000
Br1 Br 0.000 0.000 0.500
Br2 Br 0.500 0.500 0.500
```

[4]
Mg3Cd2 | PBE | relaxed

## Properties
- energy above the most stable polymorph in this dataset (eV per atom) = 0.039

```
data_Mg3Cd2
_chemical_formula_sum 'Mg3 Cd2'
_cell_length_a 4.8265
_cell_length_b 4.8265
_cell_length_c 5.8564
_cell_angle_alpha 90.00
_cell_angle_beta 90.00
_cell_angle_gamma 120.00
_symmetry_space_group_name_H-M 'P -3 m 1'
_symmetry_Int_Tables_number 164
_symmetry_space_group_name_Hall '-P 3 2"'
loop_
_atom_site_label
_atom_site_type_symbol
_atom_site_fract_x
_atom_site_fract_y
_atom_site_fract_z
Mg1 Mg 0.0000 0.0000 0.0000
Mg2 Mg 0.3333 0.6667 0.3549
Cd1 Cd 0.3333 0.6667 0.8455
```

[5]
Zr3In4Pd | PBE | relaxed

## Properties
- uncorrected energy (eV/atom) = -5.597

```
data_Zr3In4Pd
_chemical_formula_sum 'Zr3 In4 Pd1'
_cell_length_a 3.199
_cell_length_b 3.199
_cell_length_c 16.507
_cell_angle_alpha 90.00
_cell_angle_beta 90.00
_cell_angle_gamma 90.00
_symmetry_space_group_name_H-M 'P 4/m m m'
_symmetry_Int_Tables_number 123
_symmetry_space_group_name_Hall '-P 4 2'
loop_
_atom_site_label
_atom_site_type_symbol
_atom_site_fract_x
_atom_site_fract_y
_atom_site_fract_z
Zr1 Zr 0.000 0.000 0.000
Zr2 Zr 0.000 0.000 0.265
In1 In 0.500 0.500 0.132
In2 In 0.500 0.500 0.396
Pd1 Pd 0.000 0.000 0.500
```

[6]
YTaCd2 | PBE | relaxed

## Properties
- energy above the most stable polymorph in this dataset (eV per atom) = 0.112

```
data_YTaCd2
_chemical_formula_sum 'Y1 Ta1 Cd2'
_cell_length_a 3.137
_cell_length_b 4.708
_cell_length_c 6.257
_cell_angle_alpha 90.00
_cell_angle_beta 104.14
_cell_angle_gamma 90.00
_symmetry_space_group_name_H-M 'P 1 m 1'
_symmetry_Int_Tables_number 6
loop_
_symmetry_equiv_pos_as_xyz
'x,y,z'
'x,-y,z'
loop_
_atom_site_label
_atom_site_type_symbol
_atom_site_fract_x
_atom_site_fract_y
_atom_site_fract_z
Y1 Y 0.000 0.000 0.000
Ta1 Ta 0.361 0.500 0.721
Cd1 Cd 0.618 0.500 0.239
Cd2 Cd 0.752 0.000 0.505
```